# 1
Computed, not measured: a relaxed Ta4Tc crystal at the PBE level of DFT.

Cell: 5.1696 5.1696 5.1696 Å, 109.47 109.47 109.47°
With the nearest neighbours (Å) after each atom.
Sites, in units of the cell vectors:
Ta1 0.0000 0.0000 0.5000  2 Tc 2.58
Ta2 0.0000 0.5000 0.0000  2 Tc 2.58
Ta3 0.5000 0.0000 0.0000  2 Tc 2.58
Ta4 0.5000 0.5000 0.5000  2 Tc 2.58
Tc1 0.0000 0.0000 0.0000  8 Ta 2.58

Output
Energy relative to the elements in eV per formula unit: 4.70
D(E_F) in states/eV/atom: 0.957
Spin magnetization in μB/atom: 0.00
Raw total energy in eV per atom: -10.6161



# 2
Computed, not measured: a relaxed TaTc2 crystal at the PBE level of DFT.

Cell: 5.2619 5.2619 6.3531 Å, 108.98 108.98 34.92°
With the nearest neighbours (Å) after each atom.
Sites, in units of the cell vectors:
Ta1 0.1657 0.1657 0.0904  6 Tc 2.67-2.74, 2 Ta 2.83
Ta2 0.8343 0.8343 0.9096  6 Tc 2.67-2.74, 2 Ta 2.83
Tc1 0.1660 0.1660 0.5898  2 Ta 2.67, 6 Tc 2.73-2.82
Tc2 0.4968 0.4968 0.7520  4 Ta 2.70-2.74, 4 Tc 2.73-2.76
Tc3 0.5032 0.5032 0.2480  4 Ta 2.70-2.74, 4 Tc 2.73-2.76
Tc4 0.8340 0.8340 0.4102  2 Ta 2.67, 6 Tc 2.73-2.82

Output
Energy relative to the elements in eV per formula unit: -0.32
D(E_F) in states/eV/atom: 0.872
Spin magnetization in μB/atom: 0.00
Raw total energy in eV per atom: -10.9697



# 3
Computed, not measured: a relaxed Ta3Tc5 crystal at the PBE level of DFT.

Cell: 7.5791 7.5791 7.5808 Å, 96.13 96.13 141.08°
With the nearest neighbours (Å) after each atom.
Sites, in units of the cell vectors:
Ta1 0.1811 0.8189 0.0000  10 Tc 2.62-2.90
Ta2 0.2459 0.7541 0.5000  2 Ta 2.53, 6 Tc 2.75-2.81
Ta3 0.3183 0.3183 0.6374  10 Tc 2.63-2.91
Ta4 0.6817 0.6817 0.3626  10 Tc 2.63-2.91
Ta5 0.7541 0.2459 0.5000  2 Ta 2.53, 6 Tc 2.75-2.81
Ta6 0.8189 0.1811 0.0000  10 Tc 2.62-2.90
Tc1 0.0640 0.2602 0.3269  6 Ta 2.63-2.91, 3 Tc 2.80-2.87
Tc2 0.2410 0.5693 0.8032  6 Ta 2.62-2.90, 3 Tc 2.83-2.87
Tc3 0.2513 0.2513 0.9995  2 Tc 2.51-2.54
Tc4 0.2602 0.0640 0.3269  6 Ta 2.63-2.91, 3 Tc 2.80-2.87
Tc5 0.4307 0.7590 0.1968  6 Ta 2.62-2.90, 3 Tc 2.83-2.87
Tc6 0.5693 0.2410 0.8032  6 Ta 2.62-2.90, 3 Tc 2.83-2.87
Tc7 0.7398 0.9360 0.6731  6 Ta 2.63-2.91, 3 Tc 2.80-2.87
Tc8 0.7487 0.7487 0.0005  2 Tc 2.51-2.54
Tc9 0.7590 0.4307 0.1968  6 Ta 2.62-2.90, 3 Tc 2.83-2.87
Tc10 0.9360 0.7398 0.6731  6 Ta 2.63-2.91, 3 Tc 2.80-2.87

Output
Energy relative to the elements in eV per formula unit: 0.33
D(E_F) in states/eV/atom: 0.783
Spin magnetization in μB/atom: 0.00
Raw total energy in eV per atom: -10.8818



# 4
Computed, not measured: a relaxed TaTc3 crystal at the PBE level of DFT.

Cell: 2.7675 4.3732 5.2206 Å, 90.00 101.60 90.00°
With the nearest neighbours (Å) after each atom.
Sites, in units of the cell vectors:
Ta1 0.0000 0.0000 0.0000  6 Tc 2.67-2.70, 2 Ta 2.77
Tc1 0.2070 0.5000 0.7492  6 Tc 2.62-2.79, 2 Ta 2.67
Tc2 0.5000 0.0000 0.5000  2 Ta 2.70, 6 Tc 2.75-2.77
Tc3 0.7930 0.5000 0.2508  6 Tc 2.62-2.79, 2 Ta 2.67

Output
Energy relative to the elements in eV per formula unit: -0.07
D(E_F) in states/eV/atom: 1.039
Spin magnetization in μB/atom: 0.00
Raw total energy in eV per atom: -10.7560



# 5
Computed, not measured: a relaxed TaTc2 crystal at the PBE level of DFT.

Cell: 4.5969 4.5969 5.2344 Å, 90.00 90.00 120.00°
With the nearest neighbours (Å) after each atom.
Sites, in units of the cell vectors:
Ta1 0.3333 0.6667 0.2500  5 Tc 2.62-2.65
Ta2 0.6667 0.3333 0.7500  5 Tc 2.62-2.65
Tc1 0.0000 0.0000 0.0000  2 Tc 2.62
Tc2 0.0000 0.0000 0.5000  2 Tc 2.62
Tc3 0.3333 0.6667 0.7500  5 Ta 2.62-2.65
Tc4 0.6667 0.3333 0.2500  5 Ta 2.62-2.65

Output
Energy relative to the elements in eV per formula unit: 0.40
D(E_F) in states/eV/atom: 1.536
Spin magnetization in μB/atom: 0.00
Raw total energy in eV per atom: -10.7292



# 6
Computed, not measured: a relaxed TaTc2 crystal at the PBE level of DFT.

Cell: 4.2896 4.2896 4.2896 Å, 60.00 60.00 60.00°
With the nearest neighbours (Å) after each atom.
Sites, in units of the cell vectors:
Ta1 0.0000 0.0000 0.0000  8 Tc 2.63
Tc1 0.2500 0.2500 0.2500  4 Ta 2.63
Tc2 0.7500 0.7500 0.7500  4 Ta 2.63

Output
Energy relative to the elements in eV per formula unit: 2.19
D(E_F) in states/eV/atom: 1.874
Spin magnetization in μB/atom: 0.00
Raw total energy in eV per atom: -10.1328



# 7
Computed, not measured: a relaxed Ta5Tc4 crystal at the PBE level of DFT.

Cell: 8.0274 8.0274 5.4241 Å, 90.00 90.00 120.00°
With the nearest neighbours (Å) after each atom.
Sites, in units of the cell vectors:
Ta1 0.0000 0.2895 0.2500  7 Tc 2.69-2.80
Ta2 0.0000 0.7105 0.7500  7 Tc 2.69-2.80
Ta3 0.2895 0.0000 0.2500  7 Tc 2.69-2.80
Ta4 0.2895 0.2895 0.7500  7 Tc 2.69-2.80
Ta5 0.3333 0.6667 0.0000  2 Ta 2.71, 6 Tc 2.86
Ta6 0.3333 0.6667 0.5000  2 Ta 2.71, 6 Tc 2.86
Ta7 0.6667 0.3333 0.0000  2 Ta 2.71, 6 Tc 2.86
Ta8 0.6667 0.3333 0.5000  2 Ta 2.71, 6 Tc 2.86
Ta9 0.7105 0.0000 0.7500  7 Tc 2.69-2.80
Ta10 0.7105 0.7105 0.2500  7 Tc 2.69-2.80
Tc1 0.0000 0.0000 0.0000  6 Ta 2.69, 2 Tc 2.71
Tc2 0.0000 0.0000 0.5000  6 Ta 2.69, 2 Tc 2.71
Tc3 0.0000 0.3758 0.7500  9 Ta 2.69-2.86
Tc4 0.0000 0.6242 0.2500  9 Ta 2.69-2.86
Tc5 0.3758 0.0000 0.7500  9 Ta 2.69-2.86
Tc6 0.3758 0.3758 0.2500  9 Ta 2.69-2.86
Tc7 0.6242 0.0000 0.2500  9 Ta 2.69-2.86
Tc8 0.6242 0.6242 0.7500  9 Ta 2.69-2.86

Output
Energy relative to the elements in eV per formula unit: -0.20
D(E_F) in states/eV/atom: 1.163
Spin magnetization in μB/atom: 0.00
Raw total energy in eV per atom: -11.2141



# 8
Computed, not measured: a relaxed Ta5Tc crystal at the PBE level of DFT.

Cell: 5.4573 5.4573 6.5859 Å, 107.94 107.94 34.45°
With the nearest neighbours (Å) after each atom.
Sites, in units of the cell vectors:
Ta1 0.0000 0.0000 0.0000  8 Ta 2.82-2.85
Ta2 0.3362 0.3362 0.1748  2 Tc 2.78, 6 Ta 2.85-2.91
Ta3 0.3392 0.3392 0.6624  2 Tc 2.78, 6 Ta 2.82-2.89
Ta4 0.6608 0.6608 0.3376  2 Tc 2.78, 6 Ta 2.82-2.89
Ta5 0.6638 0.6638 0.8252  2 Tc 2.78, 6 Ta 2.85-2.91
Tc1 0.0000 0.0000 0.5000  8 Ta 2.78

Output
Energy relative to the elements in eV per formula unit: -1.06
D(E_F) in states/eV/atom: 0.975
Spin magnetization in μB/atom: 0.00
Raw total energy in eV per atom: -11.7823



# 9
Computed, not measured: a relaxed TaTc3 crystal at the PBE level of DFT.

Cell: 2.7690 2.7690 8.1286 Å, 90.00 90.00 90.00°
With the nearest neighbours (Å) after each atom.
Sites, in units of the cell vectors:
Ta1 0.0000 0.0000 0.0000  4 Ta 2.77, 8 Tc 2.94
Tc1 0.0000 0.0000 0.5000  12 Tc 2.70-2.77
Tc2 0.5000 0.5000 0.2706  8 Tc 2.70-2.77, 4 Ta 2.94
Tc3 0.5000 0.5000 0.7294  8 Tc 2.70-2.77, 4 Ta 2.94

Output
Energy relative to the elements in eV per formula unit: 0.18
D(E_F) in states/eV/atom: 0.808
Spin magnetization in μB/atom: 0.00
Raw total energy in eV per atom: -10.6920



# 10
Computed, not measured: a relaxed Ta5Tc crystal at the PBE level of DFT.

Cell: 5.2773 5.2773 4.8563 Å, 90.00 90.00 120.00°
With the nearest neighbours (Å) after each atom.
Sites, in units of the cell vectors:
Ta1 0.0000 0.5000 0.0000  8 Ta 2.64-2.87
Ta2 0.3333 0.6667 0.5000  9 Ta 2.87-3.05, 3 Tc 3.05
Ta3 0.5000 0.0000 0.0000  8 Ta 2.64-2.87
Ta4 0.5000 0.5000 0.0000  8 Ta 2.64-2.87
Ta5 0.6667 0.3333 0.5000  9 Ta 2.87-3.05, 3 Tc 3.05
Tc1 0.0000 0.0000 0.5000  6 Ta 3.05

Output
Energy relative to the elements in eV per formula unit: 4.72
D(E_F) in states/eV/atom: 1.394
Spin magnetization in μB/atom: 0.00
Raw total energy in eV per atom: -10.8182



# 11
Computed, not measured: a relaxed Ta5Tc crystal at the PBE level of DFT.

Cell: 7.0765 7.0765 4.6878 Å, 90.00 90.00 153.45°
With the nearest neighbours (Å) after each atom.
Sites, in units of the cell vectors:
Ta1 0.0000 0.0000 0.0000  4 Ta 2.82, 4 Tc 2.85
Ta2 0.1611 0.8389 0.5000  2 Tc 2.75, 6 Ta 2.85-2.94
Ta3 0.3325 0.6675 0.0000  8 Ta 2.79-2.85
Ta4 0.6675 0.3325 0.0000  8 Ta 2.79-2.85
Ta5 0.8389 0.1611 0.5000  2 Tc 2.75, 6 Ta 2.85-2.94
Tc1 0.5000 0.5000 0.5000  8 Ta 2.75-2.85

Output
Energy relative to the elements in eV per formula unit: -1.01
D(E_F) in states/eV/atom: 1.024
Spin magnetization in μB/atom: 0.00
Raw total energy in eV per atom: -11.7724



# 12
Computed, not measured: a relaxed TaTc2 crystal at the PBE level of DFT.

Cell: 5.3925 4.4077 7.9906 Å, 90.00 90.00 90.00°
With the nearest neighbours (Å) after each atom.
Sites, in units of the cell vectors:
Ta1 0.1704 0.2500 0.0884  8 Tc 2.68-2.82
Ta2 0.3296 0.7500 0.5884  8 Tc 2.68-2.82
Ta3 0.6704 0.2500 0.4116  8 Tc 2.68-2.82
Ta4 0.8296 0.7500 0.9116  8 Tc 2.68-2.82
Tc1 0.0119 0.2500 0.7522  5 Tc 2.70-2.82, 3 Ta 2.73-2.82
Tc2 0.1702 0.2500 0.4306  5 Ta 2.68-2.73, 3 Tc 2.71-2.82
Tc3 0.3298 0.7500 0.9306  5 Ta 2.68-2.73, 3 Tc 2.71-2.82
Tc4 0.4881 0.7500 0.2522  5 Tc 2.70-2.82, 3 Ta 2.73-2.82
Tc5 0.5119 0.2500 0.7478  5 Tc 2.70-2.82, 3 Ta 2.73-2.82
Tc6 0.6702 0.2500 0.0694  5 Ta 2.68-2.73, 3 Tc 2.71-2.82
Tc7 0.8298 0.7500 0.5694  5 Ta 2.68-2.73, 3 Tc 2.71-2.82
Tc8 0.9881 0.7500 0.2478  5 Tc 2.70-2.82, 3 Ta 2.73-2.82

Output
Energy relative to the elements in eV per formula unit: -0.32
D(E_F) in states/eV/atom: 0.943
Spin magnetization in μB/atom: 0.00
Raw total energy in eV per atom: -10.9682